# Mn2ClO

A relaxed Mn2ClO crystal (GGA+U, Alexandria via LeMat-Bulk).

POSCAR file:
```
Mn2ClO
1.0
-2.7280 2.7280 5.2259
2.7280 -2.7280 5.2259
2.7280 2.7280 -5.2259
Mn Cl O
4 2 2
Direct
0.0315 0.6250 0.9065
0.3750 0.2815 0.4065
0.7185 0.1250 0.0935
0.8750 0.9685 0.5935
0.2500 0.7500 0.5000
0.5000 0.5000 0.0000
0.0000 0.0000 0.0000
0.7500 0.2500 0.5000
```

- crystal system = tetragonal
- relative energy among the computed polymorphs (eV/atom) = 0.000
- density of states at the Fermi level (states/eV/cell) = 3.91

# Mn3Cl3O

A relaxed Mn3Cl3O crystal (GGA+U, Alexandria via LeMat-Bulk).

POSCAR file:
```
Mn3Cl3O
1.0
6.6775 0.0000 0.0000
0.0000 7.1401 0.0000
-2.4217 0.0000 12.2768
Mn Cl O
12 12 4
Direct
0.1221 0.0574 0.4105
0.1221 0.4426 0.9105
0.2359 0.6359 0.4973
0.2359 0.8641 0.9973
0.2843 0.0188 0.6968
0.2843 0.4812 0.1968
0.7157 0.5188 0.8032
0.7157 0.9812 0.3032
0.7641 0.1359 0.0027
0.7641 0.3641 0.5027
0.8779 0.5574 0.0895
0.8779 0.9426 0.5895
0.1312 0.1115 0.1178
0.1312 0.3885 0.6178
0.3594 0.1529 0.8867
0.3594 0.3471 0.3867
0.3646 0.6745 0.8401
0.3646 0.8255 0.3401
0.6354 0.1745 0.6599
0.6354 0.3255 0.1599
0.6406 0.6529 0.6133
0.6406 0.8471 0.1133
0.8688 0.6115 0.3822
0.8688 0.8885 0.8822
0.1701 0.6102 0.0564
0.1701 0.8898 0.5564
0.8299 0.1102 0.4436
0.8299 0.3898 0.9436
```

- crystal system = monoclinic
- final energy (eV/atom) = -5.744
- density of states at the Fermi level (states/eV/cell) = 8.03

no.,V (Å³/f.u.)
1,78
2,146